VASP calculation (PBE) on crystalline Be4GaIr at its relaxed geometry.

POSCAR file:
```
Be4GaIr
1.0
4.347 0.000 0.000
2.174 3.765 0.000
2.174 1.255 3.549
Be Ga Ir
4 1 1
Direct
0.625 0.124 0.625
0.625 0.625 0.124
0.625 0.625 0.625
0.124 0.625 0.625
0.250 0.250 0.250
0.000 0.000 0.000
```

Space-group type: F-43m, No. 216
Size of the total moment: 0.0 μB per cell
Electronic total energy: -4.88 eV/atom
DFT formation energy: -412 meV per atom